(1)
# HfReSbI2 | the Alexandria database | SCAN | PBEsol geometry
data_HfReSbI2
_chemical_formula_sum 'Hf1 Re1 Sb1 I2'
_cell_length_a 5.450
_cell_length_b 5.450
_cell_length_c 5.639
_cell_angle_alpha 90.00
_cell_angle_beta 90.00
_cell_angle_gamma 90.00
_space_group_name_H-M_alt 'P 4/m m m'
_space_group_IT_number 123
_space_group_name_Hall '-P 4 2'
loop_
_atom_site_label
_atom_site_fract_x
_atom_site_fract_y
_atom_site_fract_z
_atom_site_occupancy
Hf1 0.000 0.000 0.000 1
Re1 0.500 0.500 0.500 1
Sb1 0.000 0.000 0.500 1
I1 0.000 0.500 0.000 1
# - Magnetic moment: 5.44 μB per cell
# - Formation energy without anion corrections: 1.27 eV/atom

(2)
# Hf2ReSeI | the Alexandria database | SCAN | PBEsol geometry
data_Hf2ReSeI
_chemical_formula_sum 'Hf2 Re1 Se1 I1'
_cell_length_a 5.082
_cell_length_b 5.082
_cell_length_c 4.949
_cell_angle_alpha 90.00
_cell_angle_beta 90.00
_cell_angle_gamma 90.00
_space_group_name_H-M_alt 'P 4/m m m'
_space_group_IT_number 123
_space_group_name_Hall '-P 4 2'
loop_
_atom_site_label
_atom_site_fract_x
_atom_site_fract_y
_atom_site_fract_z
_atom_site_occupancy
Hf1 0.000 0.500 0.000 1
Re1 0.000 0.000 0.000 1
Se1 0.500 0.500 0.500 1
I1 0.000 0.000 0.500 1
# - Magnetic moment: 0.00 μB per cell
# - Formation energy without anion corrections: 0.75 eV/atom

no.,calculated total energy (eV per atom)
1,-47.632
2,-49.898